# 1
The following is a DFT calculation (meta-GGA SCAN) of a PBEsol-optimized structure of Mn2ReAgTe.

Properties
- Space-group type: P4/mmm, No. 123
- Final energy: -34.173 eV/atom
- Formation energy (no corrections): 5.36 eV/f.u.
- Crystal system: tetragonal
- DOS at the Fermi energy: 0.8047 states/eV per atom

Geometry as POSCAR:
```
Mn2ReAgTe
1.0
4.526 0.000 0.000
0.000 4.526 0.000
0.000 0.000 5.114
Ag Te Mn Re
1 1 2 1
Direct
0.000 0.000 0.500
0.500 0.500 0.500
0.000 0.500 0.000
0.500 0.000 0.000
0.000 0.000 0.000
```



# 2
The following is a DFT calculation (meta-GGA SCAN) of a PBEsol-optimized structure of TiZnSb2I.

Properties
- Space-group type: P4/mmm, No. 123
- Final energy: -27.872 eV/atom
- Formation energy (no corrections): 1.45 eV/f.u.
- Crystal system: tetragonal
- DOS at the Fermi energy: 0.7087 states/eV per atom

Geometry as POSCAR:
```
TiZnSb2I
1.0
-0.088 -5.012 1.489
1.712 1.379 4.745
-5.097 0.586 1.669
I Sb Zn Ti
1 2 1 1
Direct
0.000 0.000 0.500
0.500 0.000 0.000
0.000 0.500 0.000
0.500 0.500 0.500
0.000 0.000 0.000
```



# 3
The following is a DFT calculation (meta-GGA SCAN) of a PBEsol-optimized structure of NiBi2P.

Properties
- Space-group type: I-42d, No. 122
- Final energy: -45.617 eV/atom
- Crystal system: tetragonal
- DOS at the Fermi energy: 0.5355 states/eV per atom

Geometry as POSCAR:
```
NiBi2P
1.0
-0.592 2.507 -5.460
5.193 -2.546 -1.732
-5.265 -4.754 1.725
P Bi Ni
2 4 2
Direct
0.750 0.250 0.500
0.500 0.500 0.000
0.906 0.375 0.250
0.125 0.094 0.750
0.625 0.656 0.750
0.344 0.875 0.250
0.000 0.000 0.000
0.250 0.750 0.500
```



# 4
The following is a DFT calculation (meta-GGA SCAN) of a PBEsol-optimized structure of LuPO4.

Properties
- Space-group type: I4_1/a, No. 88
- Final energy: -18.419 eV/atom
- Formation energy (no corrections): -19.84 eV/f.u.
- Crystal system: tetragonal
- DOS at the Fermi energy: 0.0000 states/eV per atom
- Energy above the most stable polymorph in this dataset: 88 meV per atom

Geometry as POSCAR:
```
LuPO4
1.0
-2.443 -3.750 1.531
2.235 0.244 4.162
-3.769 5.047 -0.960
O Lu P
8 2 2
Direct
0.958 0.572 0.651
0.330 0.708 0.151
0.428 0.307 0.349
0.292 0.178 0.849
0.920 0.042 0.349
0.693 0.080 0.651
0.822 0.443 0.151
0.557 0.670 0.849
0.250 0.750 0.500
0.000 0.000 0.000
0.500 0.500 0.000
0.750 0.250 0.500
```



# 5
The following is a DFT calculation (meta-GGA SCAN) of a PBEsol-optimized structure of ZrTcNi2Bi.

Properties
- Space-group type: P4/mmm, No. 123
- Final energy: -34.437 eV/atom
- Crystal system: tetragonal
- DOS at the Fermi energy: 0.8344 states/eV per atom

Geometry as POSCAR:
```
ZrTcNi2Bi
1.0
4.424 0.000 0.000
0.000 4.424 0.000
0.000 0.000 5.071
Ni Bi Tc Zr
2 1 1 1
Direct
0.500 0.000 0.000
0.000 0.500 0.000
0.000 0.000 0.500
0.000 0.000 0.000
0.500 0.500 0.500
```



# 6
The following is a DFT calculation (meta-GGA SCAN) of a PBEsol-optimized structure of Li3W2N5.

Properties
- Space-group type: I4_1, No. 80
- Final energy: -19.954 eV/atom
- Formation energy (no corrections): -6.54 eV/f.u.
- Crystal system: tetragonal
- DOS at the Fermi energy: 0.0000 states/eV per atom

Geometry as POSCAR:
```
Li3W2N5
1.0
8.240 0.000 0.000
4.120 7.984 0.000
4.120 0.000 7.984
W N Li
8 20 12
Direct
0.995 0.890 0.687
0.432 0.813 0.390
0.635 0.187 0.610
0.851 0.616 0.765
0.366 0.735 0.116
0.217 0.265 0.884
0.572 0.110 0.313
0.232 0.384 0.235
0.031 0.189 0.005
0.562 0.599 0.331
0.345 0.533 0.209
0.931 0.771 0.587
0.304 0.291 0.033
0.911 0.831 0.901
0.969 0.505 0.311
0.847 0.127 0.679
0.268 0.913 0.271
0.724 0.179 0.373
0.492 0.401 0.669
0.276 0.821 0.627
0.224 0.811 0.995
0.785 0.495 0.689
0.652 0.873 0.321
0.087 0.467 0.791
0.289 0.229 0.413
0.452 0.087 0.729
0.643 0.169 0.099
0.628 0.709 0.967
0.725 0.355 0.165
0.017 0.275 0.601
0.042 0.101 0.225
0.245 0.645 0.835
0.830 0.665 0.145
0.892 0.725 0.399
0.640 0.335 0.855
0.368 0.899 0.775
0.353 0.500 0.500
0.960 0.000 0.000
0.710 0.500 0.500
0.603 0.000 0.000
```



# 7
The following is a DFT calculation (meta-GGA SCAN) of a PBEsol-optimized structure of TiSiS3.

Properties
- Space-group type: Pm-3m, No. 221
- Final energy: -11.153 eV/atom
- Formation energy (no corrections): -0.83 eV/f.u.
- Crystal system: cubic
- DOS at the Fermi energy: 0.4105 states/eV per atom

Geometry as POSCAR:
```
TiSiS3
1.0
-1.403 1.608 -4.100
3.182 -2.605 -2.111
-3.045 -3.464 -0.316
S Ti Si
3 1 1
Direct
0.000 0.000 0.500
0.000 0.500 0.000
0.500 0.000 0.000
0.000 0.000 0.000
0.500 0.500 0.500
```



# 8
The following is a DFT calculation (meta-GGA SCAN) of a PBEsol-optimized structure of SrCaPb.

Properties
- Space-group type: Pnma, No. 62
- Final energy: -36.693 eV/atom
- Crystal system: orthorhombic

Geometry as POSCAR:
```
SrCaPb
1.0
5.169 0.000 0.000
0.000 8.339 0.000
0.000 0.000 9.585
Ca Pb Sr
4 4 4
Direct
0.250 0.152 0.071
0.250 0.652 0.429
0.750 0.848 0.929
0.750 0.348 0.571
0.750 0.237 0.892
0.750 0.737 0.608
0.250 0.263 0.392
0.250 0.763 0.108
0.250 0.020 0.684
0.250 0.520 0.816
0.750 0.480 0.184
0.750 0.980 0.316
```



# 9
The following is a DFT calculation (meta-GGA SCAN) of a PBEsol-optimized structure of KCuRe3.

Properties
- Space-group type: Pm-3m, No. 221
- Final energy: -44.781 eV/atom
- Crystal system: cubic
- DOS at the Fermi energy: 1.5004 states/eV per atom

Geometry as POSCAR:
```
KCuRe3
1.0
-0.919 3.143 3.192
0.836 -3.081 3.274
4.401 1.242 0.044
Re K Cu
3 1 1
Direct
0.000 0.500 0.000
0.500 0.000 0.000
0.000 0.000 0.500
0.500 0.500 0.500
0.000 0.000 0.000
```



# 10
The following is a DFT calculation (meta-GGA SCAN) of a PBEsol-optimized structure of SrCoPb.

Properties
- Space-group type: P-6m2, No. 187
- Final energy: -38.528 eV/atom
- Crystal system: hexagonal
- DOS at the Fermi energy: 0.8812 states/eV per atom

Geometry as POSCAR:
```
SrCoPb
1.0
-0.906 1.313 4.037
-2.925 -3.380 0.442
4.301 -0.586 1.156
Sr Co Pb
1 1 1
Direct
0.500 0.667 0.333
0.000 0.000 0.000
0.000 0.333 0.667
```



# 11
The following is a DFT calculation (meta-GGA SCAN) of a PBEsol-optimized structure of LiLu2Os.

Properties
- Space-group type: Fm-3m, No. 225
- Final energy: -46.679 eV/atom
- Crystal system: cubic
- DOS at the Fermi energy: 0.5896 states/eV per atom

Geometry as POSCAR:
```
LiLu2Os
1.0
4.730 0.000 0.000
2.365 4.096 0.000
2.365 1.365 3.862
Lu Os Li
2 1 1
Direct
0.250 0.250 0.250
0.750 0.750 0.750
0.000 0.000 0.000
0.500 0.500 0.500
```



# 12
The following is a DFT calculation (meta-GGA SCAN) of a PBEsol-optimized structure of LiCuPO4.

Properties
- Space-group type: P2_1/c, No. 14
- Final energy: -9.609 eV/atom
- Formation energy (no corrections): -14.35 eV/f.u.
- Crystal system: monoclinic
- Energy above the most stable polymorph in this dataset: 15 meV per atom

Geometry as POSCAR:
```
LiCuPO4
1.0
-0.997 -3.378 3.595
6.227 0.768 2.607
-3.150 6.804 5.519
O Cu Li P
16 4 4 4
Direct
0.308 0.577 0.686
0.797 0.449 0.888
0.192 0.923 0.186
0.624 0.746 0.125
0.376 0.254 0.875
0.808 0.077 0.814
0.297 0.949 0.612
0.692 0.423 0.314
0.738 0.195 0.068
0.203 0.551 0.112
0.262 0.805 0.932
0.238 0.695 0.432
0.762 0.305 0.568
0.703 0.051 0.388
0.876 0.754 0.625
0.124 0.246 0.375
0.729 0.023 0.614
0.271 0.977 0.386
0.771 0.477 0.114
0.229 0.523 0.886
0.813 0.969 0.185
0.313 0.469 0.315
0.187 0.031 0.815
0.687 0.531 0.685
0.177 0.737 0.592
0.823 0.263 0.408
0.323 0.763 0.092
0.677 0.237 0.908
```



- What is the final energy in the seventh record?
  -11.153 eV/atom



- Look up the final energy of the seventh one.
  -11.153 eV/atom